A plane-wave DFT calculation with GGA+U was carried out for a relaxed structure of Mn5FeP6O24.

Cell and atoms, written as POSCAR:
```
Mn5FeP6O24
1.0
4.290 2.477 7.047
-4.290 2.477 7.047
0.000 -4.954 7.047
Mn Fe P O
5 1 6 24
direct
0.000 0.000 0.000
0.143 0.143 0.143
0.288 0.288 0.288
0.500 0.500 0.500
0.645 0.645 0.645
0.789 0.789 0.789
0.104 0.682 0.394
0.188 0.602 0.895
0.394 0.104 0.682
0.602 0.895 0.188
0.682 0.394 0.104
0.895 0.188 0.602
0.029 0.634 0.840
0.065 0.201 0.405
0.094 0.877 0.225
0.140 0.522 0.335
0.160 0.762 0.946
0.201 0.405 0.065
0.225 0.094 0.877
0.261 0.650 0.454
0.335 0.140 0.522
0.386 0.578 0.732
0.405 0.065 0.201
0.454 0.261 0.650
0.522 0.335 0.140
0.555 0.908 0.701
0.578 0.732 0.386
0.634 0.840 0.029
0.650 0.454 0.261
0.701 0.555 0.908
0.732 0.386 0.578
0.762 0.946 0.160
0.840 0.029 0.634
0.877 0.225 0.094
0.908 0.701 0.555
0.946 0.160 0.762
```

Properties
density of states at the Fermi level	0.1396	states/eV/atom
E_tot	-264.1	eV for the cell shown

---

A plane-wave DFT calculation with GGA+U was carried out for a relaxed structure of Mn3FeP6O24.

Cell and atoms, written as POSCAR:
```
Mn3FeP6O24
1.0
4.149 2.396 7.317
-4.149 2.396 7.317
0.000 -4.791 7.317
Mn Fe P O
3 1 6 24
direct
0.000 0.000 0.000
0.210 0.210 0.210
0.716 0.716 0.716
0.502 0.502 0.502
0.103 0.392 0.829
0.324 0.895 0.606
0.392 0.829 0.103
0.606 0.324 0.895
0.829 0.103 0.392
0.895 0.606 0.324
0.028 0.075 0.377
0.042 0.395 0.349
0.043 0.240 0.855
0.075 0.377 0.028
0.116 0.978 0.747
0.240 0.855 0.043
0.313 0.366 0.682
0.336 0.699 0.636
0.349 0.042 0.395
0.366 0.682 0.313
0.377 0.028 0.075
0.395 0.349 0.042
0.481 0.870 0.658
0.599 0.748 0.963
0.636 0.336 0.699
0.658 0.481 0.870
0.682 0.313 0.366
0.699 0.636 0.336
0.747 0.116 0.978
0.748 0.963 0.599
0.855 0.043 0.240
0.870 0.658 0.481
0.963 0.599 0.748
0.978 0.747 0.116
```

Properties
density of states at the Fermi level	0.5368	states/eV/atom
E_tot	-237.5	eV for the cell shown